A plane-wave DFT calculation with PBE-GGA was carried out for a geometry-optimized Cd2NiP structure.

Size of the total moment, μB per cell: 0.0
Crystal system: tetragonal
VASP energy, eV per atom: -3.03
Space-group type: No. 123
Formation enthalpy at 0 K, meV per atom: 229

Cell lengths 3.545, 3.542, 5.463 Å; angles 90.00, 90.00, 90.00 degrees
Atoms (fractional coordinates):
1 P 0.500 0.500 0.500
2 Ni 0.500 0.500 0.000
3 Cd 0.000 0.000 0.246
4 Cd 0.000 0.000 0.754